(1)
## K6As2Pt (PBE-GGA)

Data for a geometry-optimized K6As2Pt structure.

Cell lengths 10.819, 10.819, 10.819 Å; angles 30.99, 30.99, 30.99 degrees
Atoms (fractional coordinates):
K  0.084  0.084  0.084
K  0.198  0.198  0.198
K  0.311  0.311  0.311
K  0.689  0.689  0.689
K  0.802  0.802  0.802
K  0.916  0.916  0.916
As  0.419  0.419  0.419
As  0.581  0.581  0.581
Pt  0.500  0.500  0.500

Summary:
total energy: -24.91 eV/cell
energy of formation: -0.33 eV per atom
crystal system: trigonal

(2)
## KAsPt3 (PBE-GGA)

Data for a geometry-optimized KAsPt3 structure.

Cell lengths 4.805, 4.805, 4.805 Å; angles 90.00, 90.00, 90.00 degrees
Atoms (fractional coordinates):
K  0.000  0.000  0.000
As  0.500  0.500  0.500
Pt  0.000  0.500  0.500
Pt  0.500  0.000  0.500
Pt  0.500  0.500  0.000

Summary:
total energy: -23.23 eV/cell
energy of formation: 0.13 eV per atom
crystal system: cubic

(3)
## KAsPt (PBE-GGA)

Data for a geometry-optimized KAsPt structure.

Cell lengths 4.199, 4.199, 5.299 Å; angles 90.00, 90.00, 120.00 degrees
Atoms (fractional coordinates):
K  0.000  0.000  0.000
As  0.667  0.333  0.500
Pt  0.333  0.667  0.500

Summary:
total energy: -13.12 eV/cell
energy of formation: -0.44 eV per atom
crystal system: hexagonal

(4)
## KAsPt (PBE-GGA)

Data for a geometry-optimized KAsPt structure.

Cell lengths 7.686, 4.379, 10.333 Å; angles 90.00, 90.00, 90.00 degrees
Atoms (fractional coordinates):
K  0.010  0.250  0.207
K  0.490  0.750  0.707
K  0.510  0.250  0.293
K  0.990  0.750  0.793
As  0.213  0.250  0.542
As  0.287  0.750  0.042
As  0.713  0.250  0.958
As  0.787  0.750  0.458
Pt  0.113  0.750  0.478
Pt  0.387  0.250  0.978
Pt  0.613  0.750  0.022
Pt  0.887  0.250  0.522

Summary:
total energy: -53.09 eV/cell
energy of formation: -0.50 eV per atom
crystal system: orthorhombic

(5)
## K2As2Pt (PBE-GGA)

Data for a geometry-optimized K2As2Pt structure.

Cell lengths 6.464, 6.464, 6.464 Å; angles 141.90, 123.32, 70.35 degrees
Atoms (fractional coordinates):
K  0.198  0.198  0.000
K  0.802  0.802  0.000
As  0.279  0.500  0.779
As  0.721  0.500  0.221
Pt  0.500  0.000  0.500

Summary:
total energy: -19.94 eV/cell
energy of formation: -0.48 eV per atom
crystal system: orthorhombic

(6)
## KAs2Pt2 (PBE-GGA)

Data for a geometry-optimized KAs2Pt2 structure.

Cell lengths 8.133, 8.133, 2.998 Å; angles 90.00, 90.00, 90.00 degrees
Atoms (fractional coordinates):
K  0.000  0.000  0.000
K  0.500  0.500  0.000
As  0.145  0.355  0.500
As  0.355  0.855  0.500
As  0.645  0.145  0.500
As  0.855  0.645  0.500
Pt  0.128  0.628  0.000
Pt  0.372  0.128  0.000
Pt  0.628  0.872  0.000
Pt  0.872  0.372  0.000

Summary:
total energy: -46.35 eV/cell
energy of formation: -0.14 eV per atom
crystal system: tetragonal

(7)
## KAs4Pt (PBE-GGA)

Data for a geometry-optimized KAs4Pt structure.

Cell lengths 5.770, 5.770, 5.770 Å; angles 60.00, 60.00, 60.00 degrees
Atoms (fractional coordinates):
K  0.000  0.000  0.000
As  0.389  0.389  0.389
As  0.389  0.389  0.833
As  0.389  0.833  0.389
As  0.833  0.389  0.389
Pt  0.750  0.750  0.750

Summary:
total energy: -23.93 eV/cell
energy of formation: 0.30 eV per atom
crystal system: cubic

(8)
## K3AsPt2 (PBE-GGA)

Data for a geometry-optimized K3AsPt2 structure.

Cell lengths 6.909, 10.907, 11.528 Å; angles 90.00, 116.35, 90.00 degrees
Atoms (fractional coordinates):
K  0.083  0.093  0.163
K  0.083  0.407  0.663
K  0.237  0.596  0.990
K  0.237  0.904  0.490
K  0.411  0.117  0.830
K  0.411  0.383  0.330
K  0.589  0.617  0.670
K  0.589  0.883  0.170
K  0.763  0.096  0.510
K  0.763  0.404  0.010
K  0.917  0.593  0.337
K  0.917  0.907  0.837
As  0.408  0.691  0.334
As  0.408  0.809  0.834
As  0.592  0.191  0.166
As  0.592  0.309  0.666
Pt  0.091  0.727  0.670
Pt  0.091  0.773  0.170
Pt  0.272  0.218  0.514
Pt  0.272  0.282  0.014
Pt  0.728  0.718  0.986
Pt  0.728  0.782  0.486
Pt  0.909  0.227  0.830
Pt  0.909  0.273  0.330

Summary:
total energy: -87.95 eV/cell
energy of formation: -0.33 eV per atom
crystal system: monoclinic

(9)
## K2As2Pt (PBE-GGA)

Data for a geometry-optimized K2As2Pt structure.

Cell lengths 7.904, 7.904, 6.203 Å; angles 90.00, 90.00, 131.56 degrees
Atoms (fractional coordinates):
K  0.079  0.921  0.750
K  0.296  0.704  0.250
K  0.704  0.296  0.750
K  0.921  0.079  0.250
As  0.200  0.420  0.750
As  0.420  0.200  0.250
As  0.580  0.800  0.750
As  0.800  0.580  0.250
Pt  0.500  0.500  0.000
Pt  0.500  0.500  0.500

Summary:
total energy: -40.22 eV/cell
energy of formation: -0.51 eV per atom
crystal system: orthorhombic

(10)
## KAs3Pt (PBE-GGA)

Data for a geometry-optimized KAs3Pt structure.

Cell lengths 5.076, 5.076, 5.076 Å; angles 90.00, 90.00, 90.00 degrees
Atoms (fractional coordinates):
K  0.000  0.000  0.000
As  0.000  0.500  0.500
As  0.500  0.000  0.500
As  0.500  0.500  0.000
Pt  0.500  0.500  0.500

Summary:
total energy: -19.99 eV/cell
energy of formation: 0.22 eV per atom
crystal system: cubic

(11)
## K4As2Pt (PBE-GGA)

Data for a geometry-optimized K4As2Pt structure.

Cell lengths 9.806, 9.806, 9.806 Å; angles 33.47, 33.47, 33.47 degrees
Atoms (fractional coordinates):
K  0.129  0.129  0.129
K  0.292  0.292  0.292
K  0.708  0.708  0.708
K  0.871  0.871  0.871
As  0.415  0.415  0.415
As  0.585  0.585  0.585
Pt  0.500  0.500  0.500

Summary:
total energy: -22.70 eV/cell
energy of formation: -0.42 eV per atom
crystal system: trigonal

(12)
## KAs2Pt3 (PBE-GGA)

Data for a geometry-optimized KAs2Pt3 structure.

Cell lengths 7.739, 7.739, 9.100 Å; angles 110.14, 110.14, 30.14 degrees
Atoms (fractional coordinates):
K  0.138  0.138  0.047
K  0.862  0.862  0.953
As  0.198  0.198  0.720
As  0.474  0.474  0.772
As  0.526  0.526  0.228
As  0.802  0.802  0.280
Pt  0.054  0.054  0.398
Pt  0.308  0.308  0.572
Pt  0.403  0.403  0.354
Pt  0.597  0.597  0.646
Pt  0.692  0.692  0.428
Pt  0.946  0.946  0.602

Summary:
total energy: -62.05 eV/cell
energy of formation: -0.42 eV per atom
crystal system: monoclinic